The following is a DFT calculation (GGA-PBE) of LiOsSeO after structural relaxation.

Cell: 3.5759 3.5759 8.1473 Å, 90.00 90.00 90.00°
Sites, in units of the cell vectors:
1 Li 0.2500 0.7500 0.0000
2 Li 0.7500 0.2500 0.0000
3 Os 0.2500 0.2500 0.3457
4 Os 0.7500 0.7500 0.6543
5 Se 0.2500 0.2500 0.7843
6 Se 0.7500 0.7500 0.2157
7 O 0.2500 0.7500 0.5000
8 O 0.7500 0.2500 0.5000

Results
The crystal system is tetragonal. Its energy is -43.1 eV/cell. As for the energy above the most stable polymorph in this dataset: 2.414 eV per formula unit.

***

The following is a DFT calculation (GGA-PBE) of LiOsSeO after structural relaxation.

Cell: 3.4219 6.8912 5.1463 Å, 90.00 90.00 90.00°
Sites, in units of the cell vectors:
1 Li 0.0000 0.1916 0.0000
2 Li 0.0000 0.8084 0.5000
3 Os 0.5000 0.4372 0.4224
4 Os 0.5000 0.5628 0.9224
5 Se 0.0000 0.1944 0.5126
6 Se 0.0000 0.8056 0.0126
7 O 0.5000 0.2981 0.0601
8 O 0.5000 0.7019 0.5601

Results
The crystal system is orthorhombic. Its energy is -47.9 eV/cell. As for the energy above the most stable polymorph in this dataset: 0.000 eV per formula unit.